Entry 1:
BaPtSe2, optimized geometry, DFT PBE-GGA; ΔE_f (raw) = -3.19 eV per formula unit; ΔE to the lowest computed polymorph = 276.6 meV/atom
1.0
-2.9236 2.9236 7.5083
2.9236 -2.9236 7.5083
2.9236 2.9236 -7.5083
Ba Pt Se
2 2 4
direct
0.0000 0.0000 0.0000
0.7500 0.2500 0.5000
0.2500 0.7500 0.5000
0.5000 0.5000 0.0000
0.2378 0.6250 0.1128
0.3750 0.4878 0.6128
0.5122 0.1250 0.8872
0.8750 0.7622 0.3872

---

Entry 2:
CuAg2Pb, optimized geometry, DFT PBE-GGA; formation energy from the elements = 18.8 kJ per mole of atoms
1.0
3.2045 0.0000 0.0000
0.0000 4.4196 0.0000
-1.2039 0.0000 5.5870
Cu Ag Pb
1 2 1
direct
0.0000 0.0000 0.0000
0.3754 0.5000 0.2189
0.6246 0.5000 0.7811
0.0000 0.0000 0.5000

---

Entry 3:
Ti2ZnCu2, optimized geometry, DFT PBE-GGA; formation energy from the elements = -6.5 kJ per mole of atoms; ΔE to the lowest computed polymorph = 65.2 meV/atom
1.0
6.7555 0.0000 0.0000
0.0000 6.7555 0.0000
0.0000 0.0000 3.2453
Ti Zn Cu
4 2 4
direct
0.1694 0.3306 0.0000
0.3306 0.8306 0.0000
0.6694 0.1694 0.0000
0.8306 0.6694 0.0000
0.0000 0.0000 0.5000
0.5000 0.5000 0.5000
0.1285 0.6285 0.5000
0.3715 0.1285 0.5000
0.6285 0.8715 0.5000
0.8715 0.3715 0.5000

---

Entry 4:
Ti3V2Si3, optimized geometry, DFT PBE-GGA; ΔE_f (raw) = -6.03 eV per formula unit
1.0
7.3366 0.0000 0.0000
-3.6683 6.3537 0.0000
0.0000 0.0000 4.9394
Ti V Si
6 4 6
direct
0.0000 0.2454 0.2500
0.0000 0.7546 0.7500
0.2454 0.0000 0.2500
0.2454 0.2454 0.7500
0.7546 0.0000 0.7500
0.7546 0.7546 0.2500
0.3333 0.6667 0.0000
0.3333 0.6667 0.5000
0.6667 0.3333 0.0000
0.6667 0.3333 0.5000
0.0000 0.3991 0.7500
0.0000 0.6009 0.2500
0.3991 0.0000 0.7500
0.3991 0.3991 0.2500
0.6009 0.0000 0.2500
0.6009 0.6009 0.7500

---

Entry 5:
CeHg3S4, optimized geometry, DFT PBE-GGA; ΔE_f (raw) = -3.68 eV per formula unit
1.0
6.5855 0.0000 0.0000
0.0000 6.5855 0.0000
0.0000 0.0000 6.5855
Ce Hg S
1 3 4
direct
0.0000 0.0000 0.0000
0.0000 0.0000 0.5000
0.0000 0.5000 0.0000
0.5000 0.0000 0.0000
0.2287 0.2287 0.2287
0.2287 0.7713 0.7713
0.7713 0.2287 0.7713
0.7713 0.7713 0.2287

---

Entry 6:
Cr2SbCl, optimized geometry, DFT PBE-GGA; ΔE_f (raw) = 0.19 eV per formula unit; ΔE to the lowest computed polymorph = 85.7 meV/atom
1.0
3.3742 0.0000 0.0000
0.0000 3.8348 0.0000
-0.0085 0.0000 7.1563
Cr Sb Cl
2 1 1
direct
0.0000 0.0000 0.0000
0.4995 0.5000 0.0263
0.5004 0.0000 0.3028
0.9982 0.5000 0.7753

---

Entry 7:
BaSrTc, optimized geometry, DFT PBE-GGA; formation energy from the elements = 78.1 kJ per mole of atoms; ΔE to the lowest computed polymorph = 0.0 meV/atom
1.0
-1.8578 1.8578 7.6592
1.8578 -1.8578 7.6592
1.8578 1.8578 -7.6592
Ba Sr Tc
1 1 1
direct
0.0000 0.0000 0.0000
0.2510 0.2510 0.0000
0.6295 0.6295 0.0000

---

Entry 8:
ThGaNiAu, optimized geometry, DFT PBE-GGA; formation energy from the elements = -39.2 kJ per mole of atoms
1.0
0.0000 3.4206 3.4206
3.4206 0.0000 3.4206
3.4206 3.4206 0.0000
Th Ga Ni Au
1 1 1 1
direct
0.0000 0.0000 0.0000
0.5000 0.5000 0.5000
0.7500 0.7500 0.7500
0.2500 0.2500 0.2500

---

Entry 9:
Na2NpO3, optimized geometry, DFT PBE-GGA; ΔE_f (raw) = -13.92 eV per formula unit
1.0
2.9856 -5.1549 0.0000
2.9856 5.1549 0.0000
-2.0328 0.0000 5.5834
Na Np O
4 2 6
direct
0.0000 0.0000 0.0000
0.1585 0.8415 0.5000
0.5000 0.5000 0.5000
0.8415 0.1585 0.5000
0.3330 0.6670 0.0000
0.6670 0.3330 0.0000
0.0732 0.4383 0.2150
0.2900 0.2900 0.7791
0.4383 0.0732 0.2150
0.5617 0.9268 0.7850
0.7100 0.7100 0.2209
0.9268 0.5617 0.7850

---

Entry 10:
PaNbNi2P2, optimized geometry, DFT PBE-GGA; formation energy from the elements = -86.2 kJ per mole of atoms
1.0
3.7919 0.0000 0.0000
-1.8960 3.2839 0.0000
0.0000 0.0000 7.3504
Pa Nb Ni P
1 1 2 2
direct
0.0000 0.0000 0.0000
0.0000 0.0000 0.5000
0.3333 0.6667 0.7364
0.6667 0.3333 0.2636
0.3333 0.6667 0.2702
0.6667 0.3333 0.7298

---

Entry 11:
Co2NiBr, optimized geometry, DFT PBE-GGA; ΔE_f (raw) = 3.40 eV per formula unit; ΔE to the lowest computed polymorph = 447.9 meV/atom
1.0
-2.7343 2.7343 5.1700
2.7343 -2.7343 5.1700
2.7343 2.7343 -5.1700
Co Ni Br
4 2 2
direct
0.0934 0.6250 0.9684
0.3750 0.3434 0.4684
0.6566 0.1250 0.0316
0.8750 0.9066 0.5316
0.0000 0.0000 0.0000
0.7500 0.2500 0.5000
0.2500 0.7500 0.5000
0.5000 0.5000 0.0000

---

Entry 12:
YInCu2, optimized geometry, DFT PBE-GGA; formation energy from the elements = -16.6 kJ per mole of atoms
1.0
3.6809 -2.1268 0.0000
3.6809 2.1268 0.0000
-2.4396 0.0000 5.2523
Y In Cu
1 1 2
direct
0.0000 0.0000 0.0000
0.7981 0.7981 0.3949
0.2153 0.2153 0.6466
0.5477 0.5477 0.6441

---

Entry 13:
Tb2GaCu12Ni3, optimized geometry, DFT PBE-GGA; formation energy from the elements = -0.6 kJ per mole of atoms
1.0
4.2245 2.4390 4.1026
-4.2245 2.4390 4.1026
0.0000 -4.8780 4.1026
Tb Ga Cu Ni
2 1 12 3
direct
0.2459 0.2459 0.2459
0.7541 0.7541 0.7541
0.5000 0.5000 0.5000
0.0750 0.0750 0.6509
0.0750 0.6509 0.0750
0.2230 0.6997 0.6997
0.3003 0.3003 0.7770
0.3003 0.7770 0.3003
0.3491 0.9250 0.9250
0.6509 0.0750 0.0750
0.6997 0.2230 0.6997
0.6997 0.6997 0.2230
0.7770 0.3003 0.3003
0.9250 0.3491 0.9250
0.9250 0.9250 0.3491
0.0000 0.5000 0.5000
0.5000 0.0000 0.5000
0.5000 0.5000 0.0000

---

Entry 14:
BeNi, optimized geometry, DFT PBE-GGA; formation energy from the elements = 11.2 kJ per mole of atoms
1.0
0.0000 2.1503 2.1503
2.1503 0.0000 2.1503
2.1503 2.1503 0.0000
Be Ni
1 1
direct
0.0000 0.0000 0.0000
0.5000 0.5000 0.5000

---

Entry 15:
Cd2BiAuI, optimized geometry, DFT PBE-GGA; ΔE_f (raw) = 1.59 eV per formula unit
1.0
5.2985 0.0000 0.0000
0.0000 5.2985 0.0000
0.0000 0.0000 5.8154
Cd Bi Au I
2 1 1 1
direct
0.0000 0.5000 0.0000
0.5000 0.0000 0.0000
0.0000 0.0000 0.5000
0.5000 0.5000 0.0000
0.5000 0.5000 0.5000

---

Entry 16:
La8Ag2Pt, optimized geometry, DFT PBE-GGA; formation energy from the elements = -24.0 kJ per mole of atoms; ΔE to the lowest computed polymorph = 38.2 meV/atom
1.0
8.2108 -2.7743 0.0000
8.2108 2.7743 0.0000
-4.6016 0.0000 7.5695
La Ag Pt
8 2 1
direct
0.0748 0.0748 0.2164
0.1292 0.1292 0.6793
0.3294 0.3294 0.5324
0.4085 0.4085 0.0641
0.5915 0.5915 0.9359
0.6706 0.6706 0.4676
0.8708 0.8708 0.3207
0.9252 0.9252 0.7836
0.2215 0.2215 0.0950
0.7785 0.7785 0.9050
0.5000 0.5000 0.5000

---

Entry 17:
ZrTi2I, optimized geometry, DFT PBE-GGA; ΔE_f (raw) = 1.56 eV per formula unit; ΔE to the lowest computed polymorph = 0.0 meV/atom
1.0
0.0000 3.3848 3.3848
3.3848 0.0000 3.3848
3.3848 3.3848 0.0000
Zr Ti I
1 2 1
direct
0.0000 0.0000 0.0000
0.2500 0.2500 0.2500
0.7500 0.7500 0.7500
0.5000 0.5000 0.5000

---

Entry 18:
B5C7, optimized geometry, DFT PBE-GGA; formation energy from the elements = 30.0 kJ per mole of atoms; ΔE to the lowest computed polymorph = 53.5 meV/atom
1.0
5.9262 -1.3257 0.0000
5.9262 1.3257 0.0000
-1.2359 0.0000 5.2573
B C
5 7
direct
0.0000 0.0000 0.0000
0.2303 0.2303 0.4413
0.5374 0.5374 0.5277
0.6720 0.6720 0.9514
0.8741 0.8741 0.3101
0.2404 0.2404 0.9286
0.3131 0.3131 0.2146
0.3149 0.3149 0.7308
0.5695 0.5695 0.0956
0.6373 0.6373 0.3806
0.8920 0.8920 0.7632
0.9741 0.9741 0.5690

---

Entry 19:
Ba2HfTe5Au, optimized geometry, DFT PBE-GGA; ΔE_f (raw) = -9.33 eV per formula unit
1.0
2.1817 -10.7357 0.0000
2.1817 10.7357 0.0000
0.0000 0.0000 13.5576
Ba Hf Te Au
4 2 10 2
direct
0.1181 0.8819 0.5000
0.1237 0.8763 0.9042
0.8763 0.1237 0.4042
0.8819 0.1181 0.0000
0.2218 0.7782 0.1960
0.7782 0.2218 0.6960
0.0834 0.9166 0.2024
0.2818 0.7182 0.5508
0.2912 0.7088 0.8391
0.3537 0.6463 0.2006
0.4971 0.5029 0.9199
0.5029 0.4971 0.4199
0.6463 0.3537 0.7006
0.7088 0.2912 0.3391
0.7182 0.2818 0.0508
0.9166 0.0834 0.7024
0.4537 0.5463 0.5990
0.5463 0.4537 0.0990

---

Entry 20:
CsTlIn3, optimized geometry, DFT PBE-GGA; formation energy from the elements = 21.6 kJ per mole of atoms; ΔE to the lowest computed polymorph = 320.7 meV/atom
1.0
6.0315 0.0000 0.0000
0.0000 6.0315 0.0000
0.0000 0.0000 6.0315
Cs Tl In
1 1 3
direct
0.0000 0.0000 0.0000
0.5000 0.5000 0.5000
0.0000 0.5000 0.5000
0.5000 0.0000 0.5000
0.5000 0.5000 0.0000

---

Entry 21:
PmPrZnSb, optimized geometry, DFT PBE-GGA; ΔE_f (raw) = -2.32 eV per formula unit
1.0
0.0000 3.7900 3.7900
3.7900 0.0000 3.7900
3.7900 3.7900 0.0000
Pm Pr Zn Sb
1 1 1 1
direct
0.0000 0.0000 0.0000
0.5000 0.5000 0.5000
0.2500 0.2500 0.2500
0.7500 0.7500 0.7500

---

Entry 22:
MgAg2Ru, optimized geometry, DFT PBE-GGA; formation energy from the elements = 23.3 kJ per mole of atoms
1.0
-1.4409 2.3883 4.8999
1.4409 -2.3883 4.8999
1.4409 2.3883 -4.8999
Mg Ag Ru
1 2 1
direct
0.0000 0.0000 0.0000
0.2516 0.7516 0.5000
0.7484 0.2484 0.5000
0.5000 0.5000 0.0000

---

Entry 23:
Be2HgP, optimized geometry, DFT PBE-GGA; formation energy from the elements = 45.6 kJ per mole of atoms; ΔE to the lowest computed polymorph = 349.9 meV/atom
1.0
3.0983 0.0000 0.0000
0.0000 3.0983 0.0000
0.0000 0.0000 5.8537
Be Hg P
2 1 1
direct
0.0000 0.0000 0.1762
0.0000 0.0000 0.8238
0.5000 0.5000 0.5000
0.5000 0.5000 0.0000

---

Entry 24:
LiBiIr, optimized geometry, DFT PBE-GGA; formation energy from the elements = 27.0 kJ per mole of atoms
1.0
13.2551 0.0000 0.0000
0.0000 1.6243 2.8131
0.0000 -1.6243 2.8131
Li Bi Ir
2 2 2
direct
0.1353 0.0000 0.0000
0.8647 0.0000 0.0000
0.3393 0.6569 0.6569
0.6607 0.6569 0.6569
0.0000 0.6665 0.6665
0.5000 0.9900 0.9900

---

Entry 25:
Tb4Y4Er3, optimized geometry, DFT PBE-GGA; formation energy from the elements = 18.7 kJ per mole of atoms; ΔE to the lowest computed polymorph = 135.6 meV/atom
1.0
-1.7665 5.5980 9.1262
1.7665 -5.5980 9.1262
1.7665 5.5980 -9.1262
Tb Y Er
4 4 3
direct
0.0702 0.8306 0.2395
0.4089 0.1694 0.2395
0.5911 0.8306 0.7605
0.9298 0.1694 0.7605
0.2257 0.7257 0.5000
0.2926 0.0000 0.2926
0.7074 0.0000 0.7074
0.7743 0.2743 0.5000
0.0000 0.5000 0.5000
0.3936 0.3936 0.0000
0.6064 0.6064 0.0000

---

no.,raw total energy (eV per cell),magnetic moment (μB per formula unit)
1,-36.2,0.0
2,-12.7,0.0
3,-51.2,0.0
4,-128.4,0.0
5,-27.0,0.0
6,-25.0,0.3
7,-11.5,1.3
8,-21.1,0.0
9,-88.7,3.0
10,-47.3,0.0
11,-36.5,5.0
12,-18.1,0.0
13,-78.9,0.0
14,-9.3,0.0
15,-8.9,0.0
16,-53.9,0.0
17,-24.3,0.0
18,-94.2,0.0
19,-84.2,0.0
20,-10.3,0.0
21,-17.2,0.0
22,-15.6,0.0
23,-11.3,0.0
24,-27.6,0.0
25,-55.9,0.0